(1)
Here is NaTmOs2O8 after structural relaxation from the Alexandria database. Energies are from PBE-GGA.

Summary:
Final energy in eV for the cell shown: -86.4
Crystal system: tetragonal
E_form (uncorrected) in eV/f.u.: -18.5

```
NaTmOs2O8
1.0
5.214 0.000 0.000
0.000 5.214 0.000
-2.607 -2.607 5.706
O Os Na Tm
8 2 1 1
direct
0.314 0.909 0.324 O
0.401 0.323 0.151 O
0.010 0.415 0.324 O
0.750 0.828 0.151 O
0.091 0.990 0.676 O
0.172 0.599 0.849 O
0.585 0.686 0.676 O
0.677 0.250 0.849 O
0.250 0.750 0.500 Os
0.500 0.500 0.000 Os
0.750 0.250 0.500 Na
0.000 0.000 0.000 Tm
```



(2)
Here is GdMgAgPd after structural relaxation from the Alexandria database. Energies are from PBE-GGA.

Summary:
Final energy in eV for the cell shown: -25.8
Energy of formation from the pure elements in kJ/mol of atoms: -49.06
Crystal system: cubic

```
GdMgAgPd
1.0
4.901 0.000 0.000
2.451 4.244 0.000
2.451 1.415 4.002
Ag Gd Pd Mg
1 1 1 1
direct
0.000 0.000 0.000 Ag
0.750 0.750 0.750 Gd
0.500 0.500 0.500 Pd
0.250 0.250 0.250 Mg
```